Entry 1:
Below is a geometry-optimized Ca2Y2Cd structure, with properties calculated at the PBE-GGA level.

The structure in POSCAR format:
```
Ca2Y2Cd
1.0
7.935 0.000 0.000
0.000 7.935 0.000
0.000 0.000 5.683
Ca Y Cd
4 4 2
direct
0.164 0.336 0.000
0.336 0.836 0.000
0.664 0.164 0.000
0.836 0.664 0.000
0.146 0.646 0.500
0.354 0.146 0.500
0.646 0.854 0.500
0.854 0.354 0.500
0.000 0.000 0.500
0.500 0.500 0.500
```

Output
- DFT formation energy (eV per atom) = 0.15
- E above lowest polymorph (eV per atom) = 0.000
- space-group type = P4/mbm (127)

---

Entry 2:
Below is a geometry-optimized La6PRh2I3 structure, with properties calculated at the PBE-GGA level.

The structure in POSCAR format:
```
La6PRh2I3
1.0
3.718 -6.443 0.000
3.718 6.443 0.000
-2.460 0.000 8.115
La P Rh I
6 1 2 3
direct
0.096 0.436 0.811
0.222 0.222 0.190
0.436 0.096 0.811
0.564 0.904 0.189
0.778 0.778 0.810
0.904 0.564 0.189
0.500 0.500 0.000
0.167 0.833 0.000
0.833 0.167 0.000
0.000 0.000 0.500
0.335 0.665 0.500
0.665 0.335 0.500
```

Output
- E_form (uncorrected) (eV per atom) = -1.1287
- space-group type = C2/m (12)

---

Entry 3:
Below is a geometry-optimized Ca2InB structure, with properties calculated at the PBE-GGA level.

The structure in POSCAR format:
```
Ca2InB
1.0
7.213 0.000 0.000
0.000 7.213 0.000
0.000 0.000 7.213
Ca In B
8 4 4
direct
0.250 0.250 0.250
0.250 0.250 0.750
0.250 0.750 0.250
0.250 0.750 0.750
0.750 0.250 0.250
0.750 0.250 0.750
0.750 0.750 0.250
0.750 0.750 0.750
0.000 0.000 0.000
0.000 0.500 0.500
0.500 0.000 0.500
0.500 0.500 0.000
0.000 0.000 0.500
0.000 0.500 0.000
0.500 0.000 0.000
0.500 0.500 0.500
```

Output
- DFT formation energy (eV per atom) = 0.31
- E above lowest polymorph (eV per atom) = 0.000
- space-group type = Fm-3m (225)

---

Entry 4:
Below is a geometry-optimized BaRe2Hg structure, with properties calculated at the PBE-GGA level.

The structure in POSCAR format:
```
BaRe2Hg
1.0
3.584 0.000 0.000
0.000 4.486 0.000
0.000 0.000 10.350
Ba Re Hg
2 4 2
direct
0.000 0.000 0.000
0.500 0.500 0.000
0.000 0.500 0.279
0.000 0.500 0.721
0.500 0.000 0.279
0.500 0.000 0.721
0.000 0.000 0.500
0.500 0.500 0.500
```

Output
- DFT formation energy (eV per atom) = 1.42
- space-group type = Cmmm (65)

---

Entry 5:
Below is a geometry-optimized Nb6AlSi structure, with properties calculated at the PBE-GGA level.

The structure in POSCAR format:
```
Nb6AlSi
1.0
5.170 0.000 0.000
0.000 5.170 0.000
0.000 0.000 5.170
Nb Al Si
6 1 1
direct
0.000 0.253 0.500
0.000 0.747 0.500
0.253 0.500 0.000
0.500 0.000 0.253
0.500 0.000 0.747
0.747 0.500 0.000
0.000 0.000 0.000
0.500 0.500 0.500
```

Output
- E_form (uncorrected) (eV per atom) = -0.2782
- space-group type = Pm-3 (200)

---

Entry 6:
Below is a geometry-optimized NaSc2Co structure, with properties calculated at the PBE-GGA level.

The structure in POSCAR format:
```
NaSc2Co
1.0
3.081 0.000 0.000
-1.540 2.668 0.000
0.000 0.000 32.155
Na Sc Co
3 6 3
direct
0.000 0.000 0.000
0.333 0.667 0.667
0.667 0.333 0.333
0.000 0.000 0.429
0.000 0.000 0.571
0.333 0.667 0.096
0.333 0.667 0.237
0.667 0.333 0.763
0.667 0.333 0.904
0.000 0.000 0.500
0.333 0.667 0.167
0.667 0.333 0.833
```

Output
- DFT formation energy (eV per atom) = 0.52
- E above lowest polymorph (eV per atom) = 0.461
- space-group type = R-3m (166)

---

Entry 7:
Below is a geometry-optimized CePm6Ho structure, with properties calculated at the PBE-GGA level.

The structure in POSCAR format:
```
CePm6Ho
1.0
0.000 5.108 7.248
3.625 0.000 7.248
3.625 5.108 0.000
Ce Pm Ho
1 6 1
direct
0.000 0.000 0.000
0.122 0.122 0.378
0.248 0.248 0.752
0.378 0.378 0.122
0.622 0.622 0.878
0.752 0.752 0.248
0.878 0.878 0.622
0.500 0.500 0.500
```

Output
- DFT formation energy (eV per atom) = 0.05
- space-group type = Fmmm (69)

---

Entry 8:
Below is a geometry-optimized Tb2PmNd4Tm2 structure, with properties calculated at the PBE-GGA level.

The structure in POSCAR format:
```
Tb2PmNd4Tm2
1.0
7.663 -2.548 0.000
7.663 2.548 0.000
-2.540 0.000 7.648
Tb Pm Nd Tm
2 1 4 2
direct
0.112 0.112 0.169
0.888 0.888 0.831
0.000 0.000 0.500
0.223 0.223 0.831
0.446 0.446 0.169
0.554 0.554 0.831
0.777 0.777 0.169
0.332 0.332 0.501
0.668 0.668 0.499
```

Output
- DFT formation energy (eV per atom) = 0.02
- space-group type = C2/m (12)

---

Electronic total energy values (in eV per cell) by entry order: -34.14, -67.87, -48.65, -42.85, -71.81, -57.01, -38.64, -41.85.
V values (in Å³/atom) by entry order: 35.79, 32.40, 23.45, 20.80, 17.27, 22.03, 33.56, 33.18.